[1]
VASP calculation (GGA-PBE) on a geometry-optimized LiCuS structure.

Computed properties:
SG   Pnma, No. 62
Uncorrected energy   -3.943 eV/atom
Mass density   3.49 g/cm³

a = 3.940 Å, b = 6.565 Å, c = 7.536 Å
α = 90.00°, β = 90.00°, γ = 90.00°
Positions (direct):
S 0.000 0.240 0.758
Li 0.500 0.567 0.427
Li 0.000 0.934 0.548
S 0.500 0.260 0.218
Cu 0.500 0.079 0.753
S 0.000 0.760 0.258
S 0.500 0.740 0.718
Li 0.000 0.066 0.048
Cu 0.500 0.921 0.253
Cu 0.000 0.421 0.222
Cu 0.000 0.579 0.722
Li 0.500 0.433 0.927

[2]
VASP calculation (GGA-PBE) on a geometry-optimized NaYHfNi structure.

Computed properties:
SG   F-43m, No. 216
Magnetic moment   0.00 μB/f.u.
Mass density   7.03 g/cm³
E above lowest polymorph   0.0 kJ/mol of formula units

a = 4.885 Å, b = 4.885 Å, c = 4.885 Å
α = 60.00°, β = 60.00°, γ = 60.00°
Positions (direct):
Na 0.750 0.750 0.750
Hf 0.500 0.500 0.500
Y 0.000 0.000 0.000
Ni 0.250 0.250 0.250

[3]
VASP calculation (GGA-PBE) on a geometry-optimized Ba2LiNbH6 structure.

Computed properties:
SG   C2/m, No. 12
Uncorrected energy   -3.902 eV/atom
Magnetic moment   2.00 μB/f.u.
Mass density   4.75 g/cm³

a = 5.613 Å, b = 5.613 Å, c = 5.469 Å
α = 115.08°, β = 115.08°, γ = 62.91°
Positions (direct):
H 0.759 0.759 0.756
H 0.747 0.250 0.245
H 0.250 0.747 0.245
Ba 0.748 0.748 0.251
Nb 0.000 0.000 0.000
Ba 0.252 0.252 0.749
Li 0.500 0.500 0.500
H 0.750 0.253 0.755
H 0.241 0.241 0.244
H 0.253 0.750 0.755

[4]
VASP calculation (GGA-PBE) on a geometry-optimized LiDyLu structure.

Computed properties:
SG   F-43m, No. 216
Magnetic moment   0.02 μB/f.u.
Mass density   6.54 g/cm³
E above lowest polymorph   0.0 kJ/mol of formula units

a = 4.981 Å, b = 4.981 Å, c = 4.981 Å
α = 60.00°, β = 60.00°, γ = 60.00°
Positions (direct):
Dy 0.250 0.250 0.250
Lu 0.750 0.750 0.750
Li 0.000 0.000 0.000

Which of these has the lowest mass density? LiCuS

Please write out number 1 again, unchanged.
VASP calculation (GGA-PBE) on a geometry-optimized LiCuS structure.

Computed properties:
SG   Pnma, No. 62
Uncorrected energy   -3.943 eV/atom
Mass density   3.49 g/cm³

a = 3.940 Å, b = 6.565 Å, c = 7.536 Å
α = 90.00°, β = 90.00°, γ = 90.00°
Positions (direct):
S 0.000 0.240 0.758
Li 0.500 0.567 0.427
Li 0.000 0.934 0.548
S 0.500 0.260 0.218
Cu 0.500 0.079 0.753
S 0.000 0.760 0.258
S 0.500 0.740 0.718
Li 0.000 0.066 0.048
Cu 0.500 0.921 0.253
Cu 0.000 0.421 0.222
Cu 0.000 0.579 0.722
Li 0.500 0.433 0.927